# 1
Compound: TiB2F2
Source: the Alexandria database
Functional: GGA-PBE
Structure: relaxed

Formation energy (no corrections)   -0.84 eV per atom
E above lowest polymorph   0 meV/atom
N(E_F)   0.441 states/eV per atom
Total DFT energy (no corrections)   -5.8398 eV per atom

```
data_TiB2F2
_chemical_formula_sum 'Ti2 B4 F4'
_cell_length_a 2.579
_cell_length_b 2.579
_cell_length_c 18.912
_cell_angle_alpha 90.00
_cell_angle_beta 90.00
_cell_angle_gamma 90.00
_symmetry_space_group_name_H-M 'I 4/m m m'
_symmetry_Int_Tables_number 139
_symmetry_space_group_name_Hall '-I 4 2'
loop_
_atom_site_label
_atom_site_type_symbol
_atom_site_fract_x
_atom_site_fract_y
_atom_site_fract_z
Ti1 Ti 0.000 0.000 0.000
B1 B 0.000 0.500 0.250
F1 F 0.000 0.000 0.436
```


# 2
Compound: Fe2WBr
Source: the Alexandria database
Functional: GGA-PBE
Structure: relaxed

Formation energy (no corrections)   1.12 eV per atom
E above lowest polymorph   653 meV/atom
N(E_F)   0.531 states/eV per atom
Total DFT energy (no corrections)   -6.7642 eV per atom

```
data_Fe2WBr
_chemical_formula_sum 'Fe8 W4 Br4'
_cell_length_a 5.579
_cell_length_b 5.579
_cell_length_c 9.810
_cell_angle_alpha 90.00
_cell_angle_beta 90.00
_cell_angle_gamma 90.00
_symmetry_space_group_name_H-M 'I -4 2 d'
_symmetry_Int_Tables_number 122
_symmetry_space_group_name_Hall 'I -4 2bw'
loop_
_atom_site_label
_atom_site_type_symbol
_atom_site_fract_x
_atom_site_fract_y
_atom_site_fract_z
Fe1 Fe 0.247 0.250 0.125
W1 W 0.000 0.000 0.000
Br1 Br 0.000 0.000 0.500
```


# 3
Compound: CaSiMo2
Source: the Alexandria database
Functional: GGA-PBE
Structure: relaxed

Formation energy (no corrections)   0.35 eV per atom
N(E_F)   0.819 states/eV per atom
Total DFT energy (no corrections)   -6.9211 eV per atom

```
data_CaSiMo2
_chemical_formula_sum 'Ca2 Si2 Mo4'
_cell_length_a 3.502
_cell_length_b 4.522
_cell_length_c 8.889
_cell_angle_alpha 90.00
_cell_angle_beta 90.00
_cell_angle_gamma 90.00
_symmetry_space_group_name_H-M 'C m m m'
_symmetry_Int_Tables_number 65
_symmetry_space_group_name_Hall '-C 2 2'
loop_
_atom_site_label
_atom_site_type_symbol
_atom_site_fract_x
_atom_site_fract_y
_atom_site_fract_z
Ca1 Ca 0.000 0.000 0.000
Si1 Si 0.000 0.000 0.500
Mo1 Mo 0.000 0.500 0.297
```


# 4
Compound: Tb3Ho4Th4
Source: the Alexandria database
Functional: GGA-PBE
Structure: relaxed

Energy of formation   0.19 eV per atom
N(E_F)   1.300 states/eV per atom
Total DFT energy (no corrections)   -5.4378 eV per atom

```
data_Tb3Ho4Th4
_chemical_formula_sum 'Tb6 Ho8 Th8'
_cell_length_a 10.727
_cell_length_b 5.553
_cell_length_c 12.026
_cell_angle_alpha 90.00
_cell_angle_beta 90.00
_cell_angle_gamma 90.00
_symmetry_space_group_name_H-M 'A m m 2'
_symmetry_Int_Tables_number 38
loop_
_symmetry_equiv_pos_as_xyz
'x,y,z'
'-x,-y,z'
'-x,y,z'
'x,-y,z'
'x,y+1/2,z+1/2'
'-x,-y+1/2,z+1/2'
'-x,y+1/2,z+1/2'
'x,-y+1/2,z+1/2'
loop_
_atom_site_label
_atom_site_type_symbol
_atom_site_fract_x
_atom_site_fract_y
_atom_site_fract_z
Tb1 Tb 0.000 0.000 0.000
Tb2 Tb 0.299 0.000 0.145
Ho1 Ho 0.000 0.000 0.691
Ho2 Ho 0.215 0.000 0.503
Ho3 Ho 0.500 0.000 0.653
Th1 Th 0.000 0.000 0.302
Th2 Th 0.281 0.000 0.841
Th3 Th 0.500 0.000 0.370
```


# 5
Compound: Cs2NbInBr6
Source: the Alexandria database
Functional: GGA-PBE
Structure: relaxed

Formation energy (no corrections)   -1.17 eV per atom
N(E_F)   0.952 states/eV per atom
Total DFT energy (no corrections)   -3.6251 eV per atom

```
data_Cs2NbInBr6
_chemical_formula_sum 'Cs8 Nb4 In4 Br24'
_cell_length_a 11.627
_cell_length_b 11.627
_cell_length_c 11.627
_cell_angle_alpha 90.00
_cell_angle_beta 90.00
_cell_angle_gamma 90.00
_symmetry_space_group_name_H-M 'F m -3 m'
_symmetry_Int_Tables_number 225
_symmetry_space_group_name_Hall '-F 4 2 3'
loop_
_atom_site_label
_atom_site_type_symbol
_atom_site_fract_x
_atom_site_fract_y
_atom_site_fract_z
Cs1 Cs 0.250 0.250 0.250
Nb1 Nb 0.000 0.000 0.000
In1 In 0.000 0.000 0.500
Br1 Br 0.000 0.000 0.229
```


# 6
Compound: NaAlNi3
Source: the Alexandria database
Functional: GGA-PBE
Structure: relaxed

Energy of formation   0.55 eV per atom
E above lowest polymorph   0 meV/atom
N(E_F)   0.394 states/eV per atom
Total DFT energy (no corrections)   -3.9299 eV per atom

```
data_NaAlNi3
_chemical_formula_sum 'Na1 Al1 Ni3'
_cell_length_a 4.406
_cell_length_b 4.406
_cell_length_c 4.406
_cell_angle_alpha 90.00
_cell_angle_beta 90.00
_cell_angle_gamma 90.00
_symmetry_space_group_name_H-M 'P m -3 m'
_symmetry_Int_Tables_number 221
_symmetry_space_group_name_Hall '-P 4 2 3'
loop_
_atom_site_label
_atom_site_type_symbol
_atom_site_fract_x
_atom_site_fract_y
_atom_site_fract_z
Na1 Na 0.000 0.000 0.000
Al1 Al 0.500 0.500 0.500
Ni1 Ni 0.000 0.500 0.500
```


# 7
Compound: Be2SiAs
Source: the Alexandria database
Functional: GGA-PBE
Structure: relaxed

Formation energy (no corrections)   0.51 eV per atom
E above lowest polymorph   340 meV/atom
N(E_F)   0.463 states/eV per atom
Total DFT energy (no corrections)   -3.8686 eV per atom

```
data_Be2SiAs
_chemical_formula_sum 'Be4 Si2 As2'
_cell_length_a 3.429
_cell_length_b 3.429
_cell_length_c 8.880
_cell_angle_alpha 90.00
_cell_angle_beta 90.00
_cell_angle_gamma 90.00
_symmetry_space_group_name_H-M 'I -4 m 2'
_symmetry_Int_Tables_number 119
_symmetry_space_group_name_Hall 'I -4 -2'
loop_
_atom_site_label
_atom_site_type_symbol
_atom_site_fract_x
_atom_site_fract_y
_atom_site_fract_z
Be1 Be 0.000 0.000 0.000
Be2 Be 0.000 0.500 0.250
Si1 Si 0.000 0.500 0.750
As1 As 0.000 0.000 0.500
```


# 8
Compound: La2TlIrO8
Source: the Alexandria database
Functional: GGA-PBE
Structure: relaxed

Formation energy (no corrections)   -1.75 eV per atom
N(E_F)   0.360 states/eV per atom
Total DFT energy (no corrections)   -6.8092 eV per atom

```
data_La2TlIrO8
_chemical_formula_sum 'La2 Tl1 Ir1 O8'
_cell_length_a 4.775
_cell_length_b 5.057
_cell_length_c 7.558
_cell_angle_alpha 92.11
_cell_angle_beta 92.71
_cell_angle_gamma 94.54
_symmetry_space_group_name_H-M 'P -1'
_symmetry_Int_Tables_number 2
loop_
_symmetry_equiv_pos_as_xyz
'x,y,z'
'-x,-y,-z'
loop_
_atom_site_label
_atom_site_type_symbol
_atom_site_fract_x
_atom_site_fract_y
_atom_site_fract_z
La1 La 0.080 0.037 0.262
Tl1 Tl 0.500 0.500 0.000
Ir1 Ir 0.500 0.500 0.500
O1 O 0.199 0.250 0.547
O2 O 0.204 0.193 0.977
O3 O 0.282 0.616 0.295
O4 O 0.370 0.754 0.669
```